Record 1
Below is a crystal of Cs2MnO relaxed with PBEsol, with properties calculated at the SCAN level.

## Properties
Space-group type: No. 225
E in eV for the cell shown: -99.316
Raw formation energy in eV per atom: 0.198

Cell: 5.517 5.517 5.517 Å, 60.00 60.00 60.00°
Element x y z (fractional)
Cs: 0.750 0.750 0.750
Cs: 0.250 0.250 0.250
O: 0.000 0.000 0.000
Mn: 0.500 0.500 0.500

Record 2
Below is a crystal of CsMnO4 relaxed with PBEsol, with properties calculated at the SCAN level.

## Properties
Space-group type: No. 62
E in eV for the cell shown: -363.206
Raw formation energy in eV per atom: -1.635

Cell: 5.667 7.882 9.966 Å, 90.00 90.00 90.00°
Element x y z (fractional)
Mn: 0.250 0.210 0.453
Mn: 0.750 0.710 0.047
Mn: 0.750 0.790 0.547
Mn: 0.250 0.290 0.953
Cs: 0.250 0.847 0.808
Cs: 0.750 0.153 0.192
Cs: 0.250 0.653 0.308
Cs: 0.750 0.347 0.692
O: 0.250 0.157 0.608
O: 0.250 0.047 0.358
O: 0.519 0.677 0.578
O: 0.250 0.343 0.108
O: 0.519 0.823 0.078
O: 0.750 0.843 0.392
O: 0.750 0.953 0.642
O: 0.981 0.823 0.078
O: 0.481 0.177 0.922
O: 0.019 0.177 0.922
O: 0.981 0.677 0.578
O: 0.019 0.323 0.422
O: 0.481 0.323 0.422
O: 0.750 0.547 0.142
O: 0.250 0.453 0.858
O: 0.750 0.657 0.892

Record 3
Below is a crystal of CsMn2P6O18 relaxed with PBEsol, with properties calculated at the SCAN level.

## Properties
Space-group type: No. 12
E in eV for the cell shown: -313.741
Raw formation energy in eV per atom: -2.402

Cell: 5.185 9.051 9.051 Å, 89.71 74.63 74.63°
Element x y z (fractional)
Mn: 0.000 0.500 0.000
Mn: 0.000 0.000 0.500
O: 0.038 0.285 0.902
O: 0.355 0.371 0.371
O: 0.741 0.182 0.448
O: 0.662 0.608 0.907
O: 0.338 0.093 0.392
O: 0.741 0.448 0.182
O: 0.261 0.623 0.280
O: 0.038 0.902 0.285
O: 0.645 0.629 0.629
O: 0.962 0.715 0.098
O: 0.259 0.818 0.552
O: 0.739 0.377 0.720
O: 0.338 0.392 0.093
O: 0.261 0.280 0.623
O: 0.739 0.720 0.377
O: 0.662 0.907 0.608
O: 0.962 0.098 0.715
O: 0.259 0.552 0.818
P: 0.000 0.252 0.748
P: 0.000 0.748 0.252
P: 0.440 0.215 0.451
P: 0.560 0.785 0.549
P: 0.560 0.549 0.785
P: 0.440 0.451 0.215
Cs: 0.500 0.000 0.000

Record 4
Below is a crystal of Cs2MnP4O12 relaxed with PBEsol, with properties calculated at the SCAN level.

## Properties
Space-group type: No. 14
E in eV for the cell shown: -1028.677
Raw formation energy in eV per atom: -2.470

Cell: 7.961 11.544 13.251 Å, 90.00 90.00 102.28°
Element x y z (fractional)
O: 0.478 0.389 0.643
O: 0.998 0.594 0.636
O: 0.785 0.348 0.747
O: 0.202 0.616 0.481
O: 0.518 0.132 0.403
O: 0.565 0.772 0.751
O: 0.715 0.152 0.247
O: 0.711 0.601 0.771
O: 0.211 0.101 0.729
O: 0.317 0.664 0.660
O: 0.789 0.899 0.271
O: 0.502 0.906 0.136
O: 0.982 0.368 0.903
O: 0.151 0.104 0.962
O: 0.522 0.611 0.357
O: 0.063 0.898 0.375
O: 0.563 0.398 0.125
O: 0.849 0.896 0.038
O: 0.065 0.272 0.749
O: 0.798 0.384 0.519
O: 0.002 0.406 0.364
O: 0.215 0.652 0.253
O: 0.437 0.602 0.875
O: 0.790 0.753 0.413
O: 0.683 0.336 0.340
O: 0.978 0.889 0.857
O: 0.290 0.253 0.087
O: 0.482 0.868 0.597
O: 0.801 0.543 0.383
O: 0.210 0.247 0.587
O: 0.018 0.632 0.097
O: 0.435 0.228 0.249
O: 0.298 0.884 0.981
O: 0.022 0.111 0.143
O: 0.702 0.116 0.019
O: 0.937 0.102 0.625
O: 0.710 0.747 0.913
O: 0.199 0.457 0.617
O: 0.289 0.399 0.229
O: 0.301 0.043 0.117
O: 0.183 0.836 0.160
O: 0.699 0.957 0.883
O: 0.817 0.164 0.840
O: 0.349 0.396 0.462
O: 0.285 0.848 0.753
O: 0.651 0.604 0.538
O: 0.498 0.094 0.864
O: 0.935 0.728 0.251
P: 0.096 0.168 0.675
P: 0.169 0.587 0.591
P: 0.596 0.668 0.825
P: 0.669 0.087 0.909
P: 0.904 0.832 0.325
P: 0.331 0.913 0.091
P: 0.326 0.378 0.573
P: 0.674 0.622 0.427
P: 0.406 0.799 0.686
P: 0.404 0.332 0.175
P: 0.826 0.878 0.927
P: 0.174 0.122 0.073
P: 0.831 0.413 0.409
P: 0.094 0.701 0.186
P: 0.906 0.299 0.814
P: 0.594 0.201 0.314
Mn: 0.760 0.013 0.145
Mn: 0.740 0.487 0.645
Mn: 0.260 0.513 0.355
Mn: 0.240 0.987 0.855
Cs: 0.577 0.138 0.622
Cs: 0.077 0.638 0.878
Cs: 0.912 0.842 0.627
Cs: 0.412 0.342 0.873
Cs: 0.423 0.862 0.378
Cs: 0.588 0.658 0.127
Cs: 0.088 0.158 0.373
Cs: 0.923 0.362 0.122

Record 5
Below is a crystal of Cs2ZrMnP3O12 relaxed with PBEsol, with properties calculated at the SCAN level.

## Properties
Space-group type: No. 198
E in eV for the cell shown: -1129.500
Raw formation energy in eV per atom: -2.728

Cell: 10.184 10.184 10.184 Å, 90.00 90.00 90.00°
Element x y z (fractional)
O: 0.001 0.059 0.726
O: 0.014 0.055 0.334
O: 0.445 0.666 0.514
O: 0.048 0.781 0.241
O: 0.055 0.334 0.014
O: 0.719 0.759 0.548
O: 0.952 0.281 0.259
O: 0.441 0.274 0.501
O: 0.726 0.001 0.059
O: 0.548 0.719 0.759
O: 0.752 0.108 0.840
O: 0.781 0.241 0.048
O: 0.059 0.726 0.001
O: 0.748 0.892 0.340
O: 0.274 0.501 0.441
O: 0.555 0.166 0.986
O: 0.108 0.840 0.752
O: 0.945 0.834 0.486
O: 0.741 0.452 0.219
O: 0.759 0.548 0.719
O: 0.340 0.748 0.892
O: 0.486 0.945 0.834
O: 0.259 0.952 0.281
O: 0.840 0.752 0.108
O: 0.608 0.660 0.248
O: 0.241 0.048 0.781
O: 0.392 0.160 0.252
O: 0.501 0.441 0.274
O: 0.666 0.514 0.445
O: 0.660 0.248 0.608
O: 0.499 0.941 0.226
O: 0.219 0.741 0.452
O: 0.892 0.340 0.748
O: 0.559 0.774 0.999
O: 0.834 0.486 0.945
O: 0.248 0.608 0.660
O: 0.160 0.252 0.392
O: 0.226 0.499 0.941
O: 0.774 0.999 0.559
O: 0.281 0.259 0.952
O: 0.999 0.559 0.774
O: 0.334 0.014 0.055
O: 0.252 0.392 0.160
O: 0.941 0.226 0.499
O: 0.452 0.219 0.741
O: 0.514 0.445 0.666
O: 0.166 0.986 0.555
O: 0.986 0.555 0.166
Cs: 0.319 0.681 0.181
Cs: 0.542 0.458 0.958
Cs: 0.042 0.042 0.042
Cs: 0.819 0.819 0.819
Cs: 0.681 0.181 0.319
Cs: 0.458 0.958 0.542
Cs: 0.181 0.319 0.681
Cs: 0.958 0.542 0.458
P: 0.702 0.131 0.982
P: 0.202 0.369 0.018
P: 0.018 0.202 0.369
P: 0.631 0.518 0.298
P: 0.369 0.018 0.202
P: 0.982 0.702 0.131
P: 0.131 0.982 0.702
P: 0.869 0.482 0.798
P: 0.518 0.298 0.631
P: 0.482 0.798 0.869
P: 0.298 0.631 0.518
P: 0.798 0.869 0.482
Mn: 0.605 0.605 0.605
Mn: 0.105 0.895 0.395
Mn: 0.895 0.395 0.105
Mn: 0.395 0.105 0.895
Zr: 0.164 0.664 0.836
Zr: 0.336 0.336 0.336
Zr: 0.664 0.836 0.164
Zr: 0.836 0.164 0.664

Record 6
Below is a crystal of CsMnPb3 relaxed with PBEsol, with properties calculated at the SCAN level.

## Properties
Space-group type: No. 221
E in eV for the cell shown: -275.667
DFT formation energy in eV/atom: 1.548

Cell: 6.074 6.074 6.074 Å, 90.00 90.00 90.00°
Element x y z (fractional)
Pb: 0.000 0.500 0.000
Pb: 0.000 0.000 0.500
Pb: 0.500 0.000 0.000
Cs: 0.000 0.000 0.000
Mn: 0.500 0.500 0.500

Record 7
Below is a crystal of CsMn2Pd relaxed with PBEsol, with properties calculated at the SCAN level.

## Properties
Space-group type: No. 225
E in eV for the cell shown: -103.273
DFT formation energy in eV/atom: 0.956

Cell: 4.713 4.713 4.713 Å, 60.00 60.00 60.00°
Element x y z (fractional)
Cs: 0.500 0.500 0.500
Mn: 0.750 0.750 0.750
Mn: 0.250 0.250 0.250
Pd: 0.000 0.000 0.000

Record 8
Below is a crystal of CsMn2PtRh relaxed with PBEsol, with properties calculated at the SCAN level.

## Properties
Space-group type: No. 123
E in eV for the cell shown: -165.968
DFT formation energy in eV/atom: 2.463

Cell: 4.712 4.712 4.939 Å, 90.00 90.00 90.00°
Element x y z (fractional)
Rh: 0.500 0.500 0.500
Pt: 0.000 0.000 0.500
Cs: 0.000 0.000 0.000
Mn: 0.500 0.000 0.000
Mn: 0.000 0.500 0.000